Density functional theory data (PBE) for an optimized crystal structure of AlRhCl.

a = 4.272 Å, b = 4.272 Å, c = 4.272 Å
α = 60.00°, β = 60.00°, γ = 60.00°
Element x y z (fractional)
Rh1 0.500 0.500 0.500
Al1 0.750 0.750 0.750
Cl1 0.000 0.000 0.000

Calculated values
Formation energy without anion corrections in eV per formula unit: 0.7
N(E_F) in states/eV/f.u.: 1.74